No. 1
DFT (GGA-PBE) results for a relaxed structure of Ba2MgGa2O6.

Geometry as CIF:
```
data_Ba2MgGa2O6
_chemical_formula_sum 'Ba2 Mg1 Ga2 O6'
_space_group_name_H-M_alt 'P 1'
_space_group_IT_number 1
_cell_length_a 6.649
_cell_length_b 6.649
_cell_length_c 6.649
_cell_angle_alpha 52.90
_cell_angle_beta 52.90
_cell_angle_gamma 52.90
loop_
_space_group_symop_operation_xyz
'x,y,z'
loop_
_atom_site_label
_atom_site_type_symbol
_atom_site_fract_x
_atom_site_fract_y
_atom_site_fract_z
Ba1 Ba 0.212 0.212 0.212
Ba2 Ba 0.788 0.788 0.788
Mg1 Mg 0.000 0.000 0.000
Ga1 Ga 0.413 0.413 0.413
Ga2 Ga 0.587 0.587 0.587
O1 O 0.237 0.759 0.759
O2 O 0.241 0.241 0.763
O3 O 0.241 0.763 0.241
O4 O 0.759 0.237 0.759
O5 O 0.759 0.759 0.237
O6 O 0.763 0.241 0.241
```

Calculated values
As for the formation energy without anion corrections: -2.18 eV per atom. As for the total magnetization: 0.0 μB/f.u.


No. 2
DFT (GGA-PBE) results for a relaxed structure of Y2Zn3Pt.

Geometry as CIF:
```
data_Y2Zn3Pt
_chemical_formula_sum 'Y2 Zn3 Pt1'
_space_group_name_H-M_alt 'P 1'
_space_group_IT_number 1
_cell_length_a 3.609
_cell_length_b 4.427
_cell_length_c 7.675
_cell_angle_alpha 90.00
_cell_angle_beta 90.00
_cell_angle_gamma 90.00
loop_
_space_group_symop_operation_xyz
'x,y,z'
loop_
_atom_site_label
_atom_site_type_symbol
_atom_site_fract_x
_atom_site_fract_y
_atom_site_fract_z
Y1 Y 0.000 0.000 0.000
Y2 Y 0.000 0.500 0.459
Zn1 Zn 0.500 0.000 0.653
Zn2 Zn 0.500 0.500 0.135
Zn3 Zn 0.500 0.500 0.808
Pt1 Pt 0.500 0.000 0.314
```

Calculated values
As for the total magnetization: 0.0 μB/f.u. Its formation energy is -0.653 eV per atom.


no.,VASP energy (eV/atom),Fermi-level density of states (states/eV per atom)
1,-5.932,0.000
2,-4.451,0.724